# 1
TePdBr: relaxed, GGA-PBE.

```
data_TePdBr
_chemical_formula_sum 'Te1 Pd1 Br1'
_space_group_name_H-M_alt 'P 3 m 1'
_space_group_IT_number 156
_cell_length_a 3.8827
_cell_length_b 3.8827
_cell_length_c 5.8648
_cell_angle_alpha 90.00
_cell_angle_beta 90.00
_cell_angle_gamma 120.00
loop_
_space_group_symop_operation_xyz
'x,y,z'
'-y,x-y,z'
'-x+y,-x,z'
'-y,-x,z'
'-x+y,y,z'
'x,x-y,z'
loop_
_atom_site_label
_atom_site_type_symbol
_atom_site_fract_x
_atom_site_fract_y
_atom_site_fract_z
_atom_site_occupancy
Te1 Te 0.0000 0.0000 0.0000 1
Pd1 Pd 0.3333 0.6667 0.7524 1
Br1 Br 0.6667 0.3333 0.4797 1
```

Results
E in eV for the cell shown: -10.81
D(E_F) in states/eV per atom: 0.708

***

# 2
Te2PdBr: relaxed, GGA-PBE.

```
data_Te2PdBr
_chemical_formula_sum 'Te8 Pd4 Br4'
_space_group_name_H-M_alt 'P 1 21/c 1'
_space_group_IT_number 14
_cell_length_a 8.448
_cell_length_b 4.443
_cell_length_c 14.908
_cell_angle_alpha 90.00
_cell_angle_beta 121.16
_cell_angle_gamma 90.00
loop_
_space_group_symop_operation_xyz
'x,y,z'
'-x,-y,-z'
'-x,y+1/2,-z+1/2'
'x,-y+1/2,z+1/2'
loop_
_atom_site_label
_atom_site_type_symbol
_atom_site_fract_x
_atom_site_fract_y
_atom_site_fract_z
_atom_site_occupancy
Te1 Te 0.046 0.127 0.370 1
Te2 Te 0.369 0.688 0.908 1
Pd1 Pd 0.188 0.210 0.253 1
Br1 Br 0.307 0.099 0.131 1
```

Results
E in eV for the cell shown: -56.27
D(E_F) in states/eV per atom: 0.000

***

# 3
Te2PdBr: relaxed, GGA-PBE.

```
data_Te2PdBr
_chemical_formula_sum 'Te8 Pd4 Br4'
_space_group_name_H-M_alt 'C 1 2/c 1'
_space_group_IT_number 15
_cell_length_a 4.436
_cell_length_b 15.911
_cell_length_c 7.692
_cell_angle_alpha 90.00
_cell_angle_beta 106.38
_cell_angle_gamma 90.00
loop_
_space_group_symop_operation_xyz
'x,y,z'
'-x,-y,-z'
'-x,y,-z+1/2'
'x,-y,z+1/2'
'x+1/2,y+1/2,z'
'-x+1/2,-y+1/2,-z'
'-x+1/2,y+1/2,-z+1/2'
'x+1/2,-y+1/2,z+1/2'
loop_
_atom_site_label
_atom_site_type_symbol
_atom_site_fract_x
_atom_site_fract_y
_atom_site_fract_z
_atom_site_occupancy
Te1 Te 0.177 0.153 0.121 1
Pd1 Pd 0.000 0.210 0.750 1
Br1 Br 0.000 0.392 0.250 1
```

Results
E in eV for the cell shown: -54.99
D(E_F) in states/eV per atom: 0.534